[1]
A plane-wave DFT calculation with GGA-PBE was carried out for Li2Pm2YPb2 after structural relaxation.

Results
- E_tot (eV/atom) = -4.2262
- energy relative to the elements (kJ/mol of atoms) = -33
- size of the total moment (μB/f.u.) = 0.00

Unit cell a=4.8455 b=4.8455 c=9.6300 alpha=75.43 beta=75.43 gamma=60.00
Sites, in units of the cell vectors:
Li1 0.6022 0.6022 0.1933
Li2 0.3978 0.3978 0.8067
Pm1 0.1283 0.1283 0.6152
Pm2 0.8717 0.8717 0.3848
Y1 0.0000 0.0000 0.0000
Pb1 0.7333 0.7333 0.8000
Pb2 0.2667 0.2667 0.2000


[2]
A plane-wave DFT calculation with GGA-PBE was carried out for Li2PmY2Pb2 after structural relaxation.

Results
- E_tot (eV/atom) = -4.4794
- energy relative to the elements (kJ/mol of atoms) = -34
- size of the total moment (μB/f.u.) = 0.00

Unit cell a=4.8616 b=4.8616 c=9.4844 alpha=75.15 beta=75.15 gamma=60.00
Sites, in units of the cell vectors:
Li1 0.5924 0.5924 0.2227
Li2 0.4076 0.4076 0.7773
Pm1 0.0000 0.0000 0.0000
Y1 0.1296 0.1296 0.6111
Y2 0.8704 0.8704 0.3889
Pb1 0.7379 0.7379 0.7864
Pb2 0.2621 0.2621 0.2136


[3]
A plane-wave DFT calculation with GGA-PBE was carried out for LiPmZnPb after structural relaxation.

Results
- E_tot (eV/atom) = -3.2530
- energy relative to the elements (kJ/mol of atoms) = -33
- size of the total moment (μB/f.u.) = 0.00

Unit cell a=5.1384 b=5.1384 c=5.1384 alpha=60.00 beta=60.00 gamma=60.00
Sites, in units of the cell vectors:
Pb1 0.5000 0.5000 0.5000
Zn1 0.0000 0.0000 0.0000
Li1 0.2500 0.2500 0.2500
Pm1 0.7500 0.7500 0.7500


[4]
A plane-wave DFT calculation with GGA-PBE was carried out for LiPrPb after structural relaxation.

Results
- E_tot (eV/atom) = -3.7394
- energy relative to the elements (kJ/mol of atoms) = -26
- size of the total moment (μB/f.u.) = 0.00

Unit cell a=3.6327 b=3.6327 c=6.5834 alpha=106.02 beta=106.02 gamma=90.00
Sites, in units of the cell vectors:
Pb1 0.9242 0.9242 0.8483
Pr1 0.6152 0.6152 0.2305
Li1 0.3106 0.3106 0.6212